Entry 1:
# HoB2Os GGA-PBEsol relaxed
# * ΔE_f: -0.649 eV per atom
# * size of the total moment: 0.0 μB/cell
data_HoB2Os
_symmetry_space_group_name_H-M 'P n m a'
_symmetry_Int_Tables_number 62
_symmetry_space_group_name_Hall '-P 2ac 2n'
_cell_length_a 5.8228
_cell_length_b 5.2655
_cell_length_c 6.3069
_cell_angle_alpha 90.00
_cell_angle_beta 90.00
_cell_angle_gamma 90.00
loop_
_atom_site_label
_atom_site_fract_x
_atom_site_fract_y
_atom_site_fract_z
Ho1 0.0092 0.2500 0.1650
B1 0.1387 0.5810 0.4608
Os1 0.1768 0.2500 0.6807

***

Entry 2:
# CuAs2P GGA-PBEsol relaxed
# * ΔE_f: 0.352 eV per atom
# * size of the total moment: 0.0 μB/cell
data_CuAs2P
_symmetry_space_group_name_H-M 'P 4/n m m'
_symmetry_Int_Tables_number 129
_cell_length_a 3.6215
_cell_length_b 3.6215
_cell_length_c 9.9227
_cell_angle_alpha 90.00
_cell_angle_beta 90.00
_cell_angle_gamma 90.00
loop_
_symmetry_equiv_pos_as_xyz
'x,y,z'
'-x,-y,-z'
'-y+1/2,x,z'
'y+1/2,-x,-z'
'-x+1/2,-y+1/2,z'
'x+1/2,y+1/2,-z'
'y,-x+1/2,z'
'-y,x+1/2,-z'
'x+1/2,-y,-z'
'-x+1/2,y,z'
'-y,-x,-z'
'y,x,z'
'-x,y+1/2,-z'
'x,-y+1/2,z'
'y+1/2,x+1/2,-z'
'-y+1/2,-x+1/2,z'
loop_
_atom_site_label
_atom_site_fract_x
_atom_site_fract_y
_atom_site_fract_z
Cu1 0.2500 0.7500 0.0000
As1 0.2500 0.2500 0.1841
As2 0.2500 0.7500 0.5000
P1 0.2500 0.2500 0.7413

***

Entry 3:
# Mg2AsCl GGA-PBEsol relaxed
# * formation energy (no corrections): -85 meV/atom
# * size of the total moment: 0.0 μB/cell
# * ΔE to the lowest computed polymorph: 0.503 eV per atom
data_Mg2AsCl
_symmetry_space_group_name_H-M 'F -4 3 m'
_symmetry_Int_Tables_number 216
_symmetry_space_group_name_Hall 'F -4 2 3'
_cell_length_a 6.8864
_cell_length_b 6.8864
_cell_length_c 6.8864
_cell_angle_alpha 90.00
_cell_angle_beta 90.00
_cell_angle_gamma 90.00
loop_
_atom_site_label
_atom_site_fract_x
_atom_site_fract_y
_atom_site_fract_z
Mg1 0.0000 0.0000 0.0000
Mg2 0.2500 0.2500 0.2500
As1 0.2500 0.2500 0.7500
Cl1 0.0000 0.0000 0.5000